1.
This record from Alexandria via LeMat-Bulk describes a geometry-optimized ZnSnAs2 structure. The functional is GGA-PBE.

Output
* excess energy over the best structure of this formula in the dataset: 363.0 meV/atom
* energy: -3.47 eV per atom
* magnetic moment: 0.0 Bohr magnetons per cell
* DFT formation energy: 0.170 eV per atom

Cell lengths 7.899, 7.899, 7.899 Å; angles 30.82, 30.82, 30.82 degrees
Fractional coordinates of all 4 atoms:
Zn 0.000 0.000 0.000
Sn 0.500 0.500 0.500
As 0.104 0.104 0.104
As 0.896 0.896 0.896

---

2.
This record from Alexandria via LeMat-Bulk describes a geometry-optimized TbThPb2 structure. The functional is GGA-PBE.

Output
* energy: -5.22 eV per atom
* magnetic moment: 0.0 Bohr magnetons per cell
* DFT formation energy: -0.351 eV per atom

Cell lengths 5.068, 5.068, 4.558 Å; angles 90.00, 90.00, 90.00 degrees
Fractional coordinates of all 4 atoms:
Tb 0.000 0.000 0.000
Th 0.500 0.500 0.000
Pb 0.000 0.500 0.500
Pb 0.500 0.000 0.500

---

3.
This record from Alexandria via LeMat-Bulk describes a geometry-optimized Y9HoEr2 structure. The functional is GGA-PBE.

Output
* energy: -5.96 eV per atom
* magnetic moment: 0.0 Bohr magnetons per cell
* DFT formation energy: 0.026 eV per atom

Cell lengths 5.031, 5.031, 15.094 Å; angles 90.00, 90.00, 90.00 degrees
Fractional coordinates of all 12 atoms:
Y 0.000 0.000 0.000
Y 0.000 0.000 0.333
Y 0.000 0.000 0.667
Y 0.000 0.500 0.167
Y 0.000 0.500 0.500
Y 0.000 0.500 0.833
Y 0.500 0.000 0.167
Y 0.500 0.000 0.500
Y 0.500 0.000 0.833
Ho 0.500 0.500 0.000
Er 0.500 0.500 0.333
Er 0.500 0.500 0.667

---

4.
This record from Alexandria via LeMat-Bulk describes a geometry-optimized Cs2RbCuCl4 structure. The functional is GGA-PBE.

Output
* energy: -3.32 eV per atom
* magnetic moment: 0.3 Bohr magnetons per cell
* formation energy (no corrections): -1.549 eV per atom

Cell lengths 9.083, 9.083, 15.793 Å; angles 90.00, 90.00, 147.24 degrees
Fractional coordinates of all 16 atoms:
Cs 0.119 0.881 0.564
Cs 0.119 0.881 0.936
Cs 0.881 0.119 0.064
Cs 0.881 0.119 0.436
Rb 0.425 0.575 0.750
Rb 0.575 0.425 0.250
Cu 0.241 0.759 0.250
Cu 0.759 0.241 0.750
Cl 0.026 0.974 0.750
Cl 0.238 0.762 0.117
Cl 0.238 0.762 0.383
Cl 0.500 0.500 0.000
Cl 0.500 0.500 0.500
Cl 0.762 0.238 0.617
Cl 0.762 0.238 0.883
Cl 0.974 0.026 0.250

---

5.
This record from Alexandria via LeMat-Bulk describes a geometry-optimized VMoPt6 structure. The functional is GGA-PBE.

Output
* energy: -7.40 eV per atom
* magnetic moment: 1.4 Bohr magnetons per cell
* DFT formation energy: -0.380 eV per atom

Cell lengths 4.866, 4.866, 7.806 Å; angles 113.67, 113.67, 47.35 degrees
Fractional coordinates of all 8 atoms:
V 0.000 0.000 0.000
Mo 0.000 0.000 0.500
Pt 0.249 0.249 0.374
Pt 0.250 0.250 0.876
Pt 0.499 0.499 0.249
Pt 0.501 0.501 0.751
Pt 0.750 0.750 0.124
Pt 0.751 0.751 0.626

---

6.
This record from Alexandria via LeMat-Bulk describes a geometry-optimized Pm2NdAg2 structure. The functional is GGA-PBE.

Output
* excess energy over the best structure of this formula in the dataset: 119.0 meV/atom
* energy: -4.07 eV per atom
* magnetic moment: 0.0 Bohr magnetons per cell
* DFT formation energy: -0.075 eV per atom

Cell lengths 5.337, 4.996, 11.435 Å; angles 90.00, 96.69, 90.00 degrees
Fractional coordinates of all 10 atoms:
Pm 0.160 0.250 0.114
Pm 0.252 0.750 0.509
Pm 0.748 0.250 0.491
Pm 0.840 0.750 0.886
Nd 0.300 0.250 0.755
Nd 0.700 0.750 0.245
Ag 0.216 0.250 0.365
Ag 0.364 0.750 0.996
Ag 0.636 0.250 0.004
Ag 0.784 0.750 0.635

---

Question: Number 4 is which compound?
Answer: Cs2RbCuCl4

---

Question: Which value of magnetic moment does entry 3 give?
Answer: 0.0 Bohr magnetons per cell